A relaxed La2Pm7Dy2 crystal. Source: the Alexandria database, functional GGA-PBE.

Computed properties:
Total magnetic moment: 0.00 μB per formula unit
Mass density: 6.93 Mg/m³
V: 35.24 Å³/atom
Raw total energy: -50.5 eV/cell
SG: Imm2
ΔH_f (0 K): 16 kJ per mole of atoms

Cell lengths 3.6303, 11.0063, 11.0063 Å; angles 63.99, 80.51, 80.51 degrees
Last column: nearest neighbours and their distance in Å.
Element x y z (fractional)
Pm  0.8308  0.0126  0.3257  1 Dy 3.24, 2 La 3.47, 4 Pm 3.60-3.61
Pm  0.8386  0.4910  0.8318  2 La 3.44, 2 Dy 3.48, 6 Pm 3.59-3.63
Pm  0.3800  0.7073  0.5328  3 Dy 3.50-3.51, 6 Pm 3.59-3.63, 2 La 3.66
Pm  0.1692  0.6743  0.9874  1 Dy 3.24, 2 La 3.47, 4 Pm 3.60-3.61
Pm  0.1614  0.1682  0.5090  2 La 3.44, 2 Dy 3.48, 6 Pm 3.59-3.63
Pm  0.5000  0.0397  0.9603  2 Pm 3.63, 3 Dy 3.65-3.72, 2 La 3.83
Pm  0.6200  0.4672  0.2927  3 Dy 3.50-3.51, 6 Pm 3.59-3.63, 2 La 3.66
La  0.2934  0.2961  0.1171  8 Pm 3.44-3.83, 2 La 3.63
La  0.7066  0.8829  0.7039  8 Pm 3.44-3.83, 2 La 3.63
Dy  0.0000  0.7616  0.2384  6 Pm 3.24-3.50
Dy  0.5000  0.3529  0.6471  7 Pm 3.48-3.65, 2 Dy 3.63